## LaNd3Sn2 (PBE-GGA)

Data for crystalline LaNd3Sn2 at its relaxed geometry.

a = 4.7405 Å, b = 10.5987 Å, c = 9.8613 Å
α = 124.07°, β = 90.00°, γ = 102.92°
Positions (direct):
Nd 0.6468 0.2935 0.8153
Sn 0.7581 0.5163 0.2289
Sn 0.2419 0.4837 0.7711
Nd 0.0543 0.1086 0.4194
La 0.1155 0.2310 0.0990
Nd 0.3532 0.7065 0.1847
Nd 0.6925 0.3849 0.4971
Sn 0.5085 0.0171 0.1608
Nd 0.9457 0.8914 0.5806
La 0.8845 0.7690 0.9010
Nd 0.3075 0.6151 0.5029
Sn 0.4915 0.9829 0.8392

## Properties
* space group: No. 12
* E: -60.96 eV per cell